Below is a relaxed structure of HfIn2Pt, with properties calculated at the PBE-GGA level.

DFT total energy: -23.00 eV/cell
ρ: 12.6 g cm⁻³
Magnetic moment: 0.0 Bohr magnetons per cell
Formation enthalpy at 0 K: -1.5 eV/f.u.

Cell lengths 4.2693, 4.2693, 4.3455 Å; angles 90.00, 90.00, 90.00 degrees
Last column: nearest neighbours and their distance in Å.
Space group P4/mmm (No. 123)
Symmetry-distinct sites (fractional):
Hf: 0.0000 0.0000 0.0000  4 Pt 3.02, 8 In 3.05
In: 0.0000 0.5000 0.5000  4 In 3.02, 4 Hf 3.05, 4 Pt 3.05
Pt: 0.5000 0.5000 0.0000  4 Hf 3.02, 8 In 3.05